[1]
DFT (GGA-PBE) results for a geometry-optimized SiHgP2 structure.

abc: 5.2423 5.2423 5.2423
angles: 143.50 111.07 80.60
Atoms (fractional coordinates):
Hg  0.2506  0.7506  0.5000
Si  0.5394  0.5394  0.0000
P  0.7567  0.2567  0.5000
P  0.9533  0.9533  0.0000

Calculated values
formation energy (no corrections)	0.55	eV/atom
space group	No. 44

[2]
DFT (GGA-PBE) results for a geometry-optimized SiHgP structure.

abc: 3.5685 3.5685 5.5670
angles: 90.00 90.00 120.00
Atoms (fractional coordinates):
Si  0.3333  0.6667  0.6044
P  0.6667  0.3333  0.4116
Hg  0.0000  0.0000  0.9841

Calculated values
formation energy (no corrections)	0.10	eV/atom
distance to the lowest polymorph of the same formula	36	meV/atom
space group	No. 156

[3]
DFT (GGA-PBE) results for a geometry-optimized SiHgP2 structure.

abc: 5.5769 5.5769 5.5769
angles: 146.09 128.93 62.72
Atoms (fractional coordinates):
Hg  0.2500  0.7500  0.5000
P  0.5680  0.5680  0.0000
Si  0.7500  0.2500  0.5000
P  0.9320  0.9320  0.0000

Calculated values
formation energy (no corrections)	0.54	eV/atom
space group	No. 71

Q: Which value of formation energy (no corrections) does entry 3 give?
A: 0.54 eV/atom

Q: Which formula does entry 2 have?
A: SiHgP

Copy entry 1 word for word.
DFT (GGA-PBE) results for a geometry-optimized SiHgP2 structure.

abc: 5.2423 5.2423 5.2423
angles: 143.50 111.07 80.60
Atoms (fractional coordinates):
Hg  0.2506  0.7506  0.5000
Si  0.5394  0.5394  0.0000
P  0.7567  0.2567  0.5000
P  0.9533  0.9533  0.0000

Calculated values
formation energy (no corrections)	0.55	eV/atom
space group	No. 44

Q: formation energy (no corrections) of number 3 (SiHgP2)?
A: 0.54 eV/atom